{"formula": "ZnInPd2", "functional": "PBE-GGA", "state": "relaxed", "total_energy_ev_per_fu": -16.43, "sg": "Fm-3m, No. 225", "lattice_angstrom": [[6.3897, 0.0000, 0.0000], [0.0000, 6.3897, 0.0000], [0.0000, 0.0000, 6.3897]], "species": ["Zn", "Zn", "Zn", "Zn", "In", "In", "In", "In", "Pd", "Pd", "Pd", "Pd", "Pd", "Pd", "Pd", "Pd"], "frac_coords": [[0.0000, 0.0000, 0.0000], [0.0000, 0.5000, 0.5000], [0.5000, 0.0000, 0.5000], [0.5000, 0.5000, 0.0000], [0.0000, 0.0000, 0.5000], [0.0000, 0.5000, 0.0000], [0.5000, 0.0000, 0.0000], [0.5000, 0.5000, 0.5000], [0.2500, 0.2500, 0.2500], [0.2500, 0.2500, 0.7500], [0.2500, 0.7500, 0.2500], [0.2500, 0.7500, 0.7500], [0.7500, 0.2500, 0.2500], [0.7500, 0.2500, 0.7500], [0.7500, 0.7500, 0.2500], [0.7500, 0.7500, 0.7500]]}

---

{"formula": "ZrIn2Pd", "functional": "PBE-GGA", "state": "relaxed", "total_energy_ev_per_fu": -20.23, "sg": "F-43m, No. 216", "lattice_angstrom": [[6.8868, 0.0000, 0.0000], [0.0000, 6.8868, 0.0000], [0.0000, 0.0000, 6.8868]], "species": ["Zr", "Zr", "Zr", "Zr", "In", "In", "In", "In", "In", "In", "In", "In", "Pd", "Pd", "Pd", "Pd"], "frac_coords": [[0.0000, 0.0000, 0.0000], [0.0000, 0.5000, 0.5000], [0.5000, 0.0000, 0.5000], [0.5000, 0.5000, 0.0000], [0.0000, 0.0000, 0.5000], [0.0000, 0.5000, 0.0000], [0.2500, 0.2500, 0.2500], [0.2500, 0.7500, 0.7500], [0.5000, 0.0000, 0.0000], [0.5000, 0.5000, 0.5000], [0.7500, 0.2500, 0.7500], [0.7500, 0.7500, 0.2500], [0.2500, 0.2500, 0.7500], [0.2500, 0.7500, 0.2500], [0.7500, 0.2500, 0.2500], [0.7500, 0.7500, 0.7500]]}